# CrSb2TePb | the Alexandria database | meta-GGA SCAN | PBEsol geometry
# Formation energy (no corrections)   1083 meV per atom
data_CrSb2TePb
_symmetry_space_group_name_H-M 'P 4/m m m'
_symmetry_Int_Tables_number 123
_symmetry_space_group_name_Hall '-P 4 2'
_cell_length_a 5.628
_cell_length_b 5.628
_cell_length_c 5.787
_cell_angle_alpha 90.00
_cell_angle_beta 90.00
_cell_angle_gamma 90.00
loop_
_atom_site_label
_atom_site_type_symbol
_atom_site_fract_x
_atom_site_fract_y
_atom_site_fract_z
Cr1 Cr 0.000 0.000 0.000
Sb1 Sb 0.000 0.500 0.500
Te1 Te 0.500 0.500 0.000
Pb1 Pb 0.500 0.500 0.500


# SrGeTe2 | the Alexandria database | meta-GGA SCAN | PBEsol geometry
# Formation energy (no corrections)   -350 meV per atom
data_SrGeTe2
_symmetry_space_group_name_H-M 'R -3 m'
_symmetry_Int_Tables_number 166
_symmetry_space_group_name_Hall '-R 3 2"'
_cell_length_a 4.8754
_cell_length_b 4.8754
_cell_length_c 25.9613
_cell_angle_alpha 90.00
_cell_angle_beta 90.00
_cell_angle_gamma 120.00
loop_
_atom_site_label
_atom_site_type_symbol
_atom_site_fract_x
_atom_site_fract_y
_atom_site_fract_z
Sr1 Sr 0.0000 0.0000 0.0000
Ge1 Ge 0.0000 0.0000 0.5000
Te1 Te 0.0000 0.0000 0.3971


# ZnFeMo2 | the Alexandria database | meta-GGA SCAN | PBEsol geometry
# E_form   264 meV/atom
data_ZnFeMo2
_symmetry_space_group_name_H-M 'F -4 3 m'
_symmetry_Int_Tables_number 216
_symmetry_space_group_name_Hall 'F -4 2 3'
_cell_length_a 6.025
_cell_length_b 6.025
_cell_length_c 6.025
_cell_angle_alpha 90.00
_cell_angle_beta 90.00
_cell_angle_gamma 90.00
loop_
_atom_site_label
_atom_site_type_symbol
_atom_site_fract_x
_atom_site_fract_y
_atom_site_fract_z
Zn1 Zn 0.000 0.000 0.000
Fe1 Fe 0.250 0.250 0.750
Mo1 Mo 0.000 0.000 0.500
Mo2 Mo 0.250 0.250 0.250


# MgSbAs2 | the Alexandria database | meta-GGA SCAN | PBEsol geometry
# Energy above the lowest structure with this stoichiometry   325 meV per atom
# Formation energy (no corrections)   113 meV per atom
data_MgSbAs2
_symmetry_space_group_name_H-M 'I m m m'
_symmetry_Int_Tables_number 71
_symmetry_space_group_name_Hall '-I 2 2'
_cell_length_a 3.729
_cell_length_b 4.589
_cell_length_c 9.909
_cell_angle_alpha 90.00
_cell_angle_beta 90.00
_cell_angle_gamma 90.00
loop_
_atom_site_label
_atom_site_type_symbol
_atom_site_fract_x
_atom_site_fract_y
_atom_site_fract_z
Mg1 Mg 0.000 0.000 0.000
Sb1 Sb 0.000 0.000 0.500
As1 As 0.000 0.500 0.221